1.
14
Lattice="7.582 0.000 0.000 0.000 7.582 0.000 0.000 0.000 7.582" Properties=species:S:1:pos:R:3 comment="MgCd3Ga3 (GGA-PBE, relaxed)" final_energy_ev_per_atom=-1.4669 sg="No. 223" crystal_system=cubic delta_e_f_ev_per_atom=0.450 pbc="T T T"
Mg 0.000 0.000 0.000
Mg 3.791 3.791 3.791
Cd 0.000 1.896 3.791
Cd 0.000 5.687 3.791
Cd 1.896 3.791 0.000
Cd 3.791 0.000 1.896
Cd 3.791 0.000 5.687
Cd 5.687 3.791 0.000
Ga 0.000 3.791 1.896
Ga 0.000 3.791 5.687
Ga 1.896 0.000 3.791
Ga 3.791 1.896 0.000
Ga 3.791 5.687 0.000
Ga 5.687 0.000 3.791



2.
8
Lattice="4.290 0.000 0.000 0.000 4.290 0.000 0.000 0.000 8.686" Properties=species:S:1:pos:R:3 comment="LaCdFe2 (GGA-PBE, relaxed)" final_energy_ev_per_atom=-5.2650 sg="No. 119" crystal_system=tetragonal delta_e_f_ev_per_atom=0.427 pbc="T T T"
La 0.000 0.000 0.000
La 2.145 2.145 4.343
Cd 0.000 2.145 6.514
Cd 2.145 0.000 2.171
Fe 0.000 0.000 4.343
Fe 0.000 2.145 2.171
Fe 2.145 0.000 6.514
Fe 2.145 2.145 0.000



3.
15
Lattice="3.606 2.082 5.243 -3.606 2.082 5.243 0.000 -4.164 5.243" Properties=species:S:1:pos:R:3 comment="NaPr6O8 (GGA-PBE, relaxed)" final_energy_ev_per_atom=-7.4054 formation_energy_uncorrected_ev_per_atom=-2.761 sg="No. 148" crystal_system=trigonal pbc="T T T"
Na 0.000 0.000 0.000
Pr -2.233 -0.289 6.574
Pr -0.866 -2.078 9.155
Pr 1.367 -1.789 6.574
Pr -1.367 1.789 9.155
Pr 0.866 2.078 6.574
Pr 2.233 0.289 9.155
O -0.973 -2.436 6.638
O -2.596 -0.376 9.091
O 0.000 0.000 5.137
O -1.623 2.060 6.638
O 1.623 -2.060 9.091
O 0.000 0.000 10.592
O 2.596 0.376 6.638
O 0.973 2.436 9.091



4.
3
Lattice="4.467 0.000 0.000 -2.234 3.869 0.000 0.000 0.000 5.931" Properties=species:S:1:pos:R:3 comment="KAlSb (GGA-PBE, relaxed)" final_energy_ev_per_atom=-3.1377 formation_energy_uncorrected_ev_per_atom=-0.150 sg="No. 156" crystal_system=trigonal pbc="T T T"
K 0.000 0.000 0.000
Al 0.000 2.579 3.450
Sb 2.234 1.290 2.577



5.
8
Lattice="3.730 0.000 0.000 0.000 3.730 0.000 0.000 0.000 9.365" Properties=species:S:1:pos:R:3 comment="YTaCo2 (GGA-PBE, relaxed)" final_energy_ev_per_atom=-7.9024 sg="No. 119" crystal_system=tetragonal delta_e_f_ev_per_atom=0.230 pbc="T T T"
Y 0.000 0.000 0.000
Y 1.865 1.865 4.683
Ta 0.000 1.865 2.341
Ta 1.865 0.000 7.024
Co 0.000 0.000 4.683
Co 0.000 1.865 7.024
Co 1.865 0.000 2.341
Co 1.865 1.865 0.000



6.
4
Lattice="4.243 0.000 0.000 0.000 3.635 0.000 -1.839 0.000 6.738" Properties=species:S:1:pos:R:3 comment="Si2PBr (GGA-PBE, relaxed)" final_energy_ev_per_atom=-4.4054 formation_energy_uncorrected_ev_per_atom=0.077 sg="No. 6" crystal_system=monoclinic pbc="T T T"
Si 0.000 0.000 0.000
Si 1.579 1.818 0.472
P 2.653 0.000 1.588
Br 0.762 1.818 5.059



7.
8
Lattice="5.792 0.000 0.000 0.000 5.792 0.000 0.000 0.000 5.792" Properties=species:S:1:pos:R:3 comment="GaSn (GGA-PBE, relaxed)" final_energy_ev_per_atom=-3.4387 sg="No. 225" crystal_system=cubic delta_e_f_ev_per_atom=0.076 pbc="T T T"
Ga 0.000 0.000 0.000
Ga 0.000 2.896 2.896
Ga 2.896 0.000 2.896
Ga 2.896 2.896 0.000
Sn 0.000 0.000 2.896
Sn 0.000 2.896 0.000
Sn 2.896 0.000 0.000
Sn 2.896 2.896 2.896



8.
12
Lattice="5.075 0.000 0.000 0.000 2.812 0.000 -1.563 0.000 13.282" Properties=species:S:1:pos:R:3 comment="Ta3Ti2Ir7 (GGA-PBE, relaxed)" final_energy_ev_per_atom=-9.7657 sg="No. 10" crystal_system=monoclinic delta_e_f_ev_per_atom=-0.318 pbc="T T T"
Ta 0.000 0.000 0.000
Ta -0.741 1.406 8.699
Ta 4.253 1.406 4.583
Ti 1.750 0.000 4.330
Ti 1.762 0.000 8.952
Ir 0.862 1.406 2.237
Ir 0.499 0.000 6.626
Ir 0.149 0.000 11.022
Ir 2.537 1.406 0.000
Ir 3.362 0.000 2.260
Ir 3.012 0.000 6.656
Ir 2.649 1.406 11.045



9.
12
Lattice="3.422 0.000 0.000 -1.711 2.963 0.000 0.000 0.000 17.350" Properties=species:S:1:pos:R:3 comment="TbScH2 (GGA-PBE, relaxed)" final_energy_ev_per_atom=-4.8946 sg="No. 166" crystal_system=trigonal pbc="T T T"
Tb 0.000 0.000 0.000
Tb 0.000 1.976 11.567
Tb 1.711 0.988 5.783
Sc 0.000 0.000 8.675
Sc 0.000 1.976 2.892
Sc 1.711 0.988 14.459
H 0.000 0.000 2.232
H 0.000 0.000 15.118
H 0.000 1.976 9.335
H 0.000 1.976 13.799
H 1.711 0.988 3.551
H 1.711 0.988 8.015



10.
5
Lattice="4.224 0.000 0.000 0.000 4.224 0.000 0.000 0.000 4.622" Properties=species:S:1:pos:R:3 comment="MnSNCl2 (GGA-PBE, relaxed)" final_energy_ev_per_atom=-4.2048 formation_energy_uncorrected_ev_per_atom=0.858 sg="No. 123" crystal_system=tetragonal pbc="T T T"
Mn 0.000 0.000 0.000
S 2.112 2.112 0.000
N 2.112 2.112 2.311
Cl 0.000 2.112 2.311
Cl 2.112 0.000 2.311



11.
5
Lattice="5.723 0.000 0.000 0.000 5.723 0.000 0.000 0.000 5.723" Properties=species:S:1:pos:R:3 comment="CeBr4 (GGA-PBE, relaxed)" final_energy_ev_per_atom=-3.7307 formation_energy_uncorrected_ev_per_atom=-1.206 sg="No. 221" crystal_system=cubic pbc="T T T"
Ce 0.000 0.000 0.000
Br 0.000 0.000 2.861
Br 0.000 2.861 0.000
Br 2.861 0.000 0.000
Br 2.861 2.861 2.861



12.
16
Lattice="7.730 0.000 0.000 0.000 7.730 0.000 0.000 0.000 7.730" Properties=species:S:1:pos:R:3 comment="KZnPb2 (GGA-PBE, relaxed)" final_energy_ev_per_atom=-2.3444 sg="No. 225" crystal_system=cubic delta_e_f_ev_per_atom=0.103 pbc="T T T"
K 0.000 0.000 0.000
K 0.000 3.865 3.865
K 3.865 0.000 3.865
K 3.865 3.865 0.000
Zn 0.000 0.000 3.865
Zn 0.000 3.865 0.000
Zn 3.865 0.000 0.000
Zn 3.865 3.865 3.865
Pb 1.932 1.932 1.932
Pb 1.932 1.932 5.797
Pb 1.932 5.797 1.932
Pb 1.932 5.797 5.797
Pb 5.797 1.932 1.932
Pb 5.797 1.932 5.797
Pb 5.797 5.797 1.932
Pb 5.797 5.797 5.797



13.
16
Lattice="6.153 0.000 0.000 0.000 9.995 0.000 -1.993 0.000 5.785" Properties=species:S:1:pos:R:3 comment="Sc6CoRh (GGA-PBE, relaxed)" final_energy_ev_per_atom=-6.7837 sg="No. 12" crystal_system=monoclinic delta_e_f_ev_per_atom=-0.228 pbc="T T T"
Sc 0.944 1.806 1.411
Sc 0.944 8.189 1.411
Sc 1.058 4.997 1.364
Sc 0.024 0.000 4.421
Sc 0.139 3.192 4.374
Sc 0.139 6.803 4.374
Sc 4.021 3.192 1.411
Sc 4.021 6.803 1.411
Sc 4.135 0.000 1.364
Sc 3.101 4.997 4.421
Sc 3.215 1.806 4.374
Sc 3.215 8.189 4.374
Co 0.000 0.000 0.000
Co 3.076 4.997 0.000
Rh -0.997 4.997 2.893
Rh 2.080 0.000 2.893



14.
16
Lattice="7.727 0.000 0.000 0.000 7.727 0.000 0.000 0.000 7.727" Properties=species:S:1:pos:R:3 comment="SrSmAlHg (GGA-PBE, relaxed)" final_energy_ev_per_atom=-2.9248 sg="No. 216" crystal_system=cubic delta_e_f_ev_per_atom=-0.313 pbc="T T T"
Sr 0.000 0.000 0.000
Sr 0.000 3.863 3.863
Sr 3.863 0.000 3.863
Sr 3.863 3.863 0.000
Sm 0.000 0.000 3.863
Sm 0.000 3.863 0.000
Sm 3.863 0.000 0.000
Sm 3.863 3.863 3.863
Al 1.932 1.932 1.932
Al 1.932 5.795 5.795
Al 5.795 1.932 5.795
Al 5.795 5.795 1.932
Hg 1.932 1.932 5.795
Hg 1.932 5.795 1.932
Hg 5.795 1.932 1.932
Hg 5.795 5.795 5.795



15.
7
Lattice="2.705 1.562 11.673 -2.705 1.562 11.673 0.000 -3.123 11.673" Properties=species:S:1:pos:R:3 comment="CsK2Cd2Bi2 (GGA-PBE, relaxed)" final_energy_ev_per_atom=-2.0871 sg="No. 166" crystal_system=trigonal delta_e_f_ev_per_atom=-0.281 pbc="T T T"
Cs 0.000 0.000 0.000
K 0.000 0.000 4.709
K 0.000 0.000 30.309
Cd 0.000 0.000 14.482
Cd 0.000 0.000 20.536
Bi 0.000 0.000 8.766
Bi 0.000 0.000 26.252



16.
14
Lattice="6.807 0.000 0.000 0.000 6.807 0.000 0.000 0.000 6.807" Properties=species:S:1:pos:R:3 comment="Li6Ho (GGA-PBE, relaxed)" final_energy_ev_per_atom=-1.8936 sg="No. 229" crystal_system=cubic delta_e_f_ev_per_atom=0.401 pbc="T T T"
Li 0.000 1.702 3.403
Li 0.000 3.403 1.702
Li 0.000 3.403 5.105
Li 0.000 5.105 3.403
Li 1.702 0.000 3.403
Li 1.702 3.403 0.000
Li 3.403 0.000 1.702
Li 3.403 0.000 5.105
Li 3.403 1.702 0.000
Li 3.403 5.105 0.000
Li 5.105 0.000 3.403
Li 5.105 3.403 0.000
Ho 0.000 0.000 0.000
Ho 3.403 3.403 3.403



17.
16
Lattice="5.609 0.000 0.000 0.000 5.609 0.000 0.000 0.000 10.554" Properties=species:S:1:pos:R:3 comment="VGeP2 (GGA-PBE, relaxed)" final_energy_ev_per_atom=-6.1481 sg="No. 122" crystal_system=tetragonal delta_e_f_ev_per_atom=-0.009 pbc="T T T"
V 0.000 0.000 0.000
V 0.000 2.805 2.638
V 2.805 0.000 7.915
V 2.805 2.805 5.277
Ge 0.000 0.000 5.277
Ge 0.000 2.805 7.915
Ge 2.805 0.000 2.638
Ge 2.805 2.805 0.000
P 1.383 1.402 6.596
P 1.402 4.188 9.234
P 1.402 4.226 3.958
P 1.421 1.402 1.319
P 4.188 4.207 1.319
P 4.207 1.383 3.958
P 4.207 1.421 9.234
P 4.226 4.207 6.596



18.
4
Lattice="3.756 0.000 0.000 0.670 4.036 0.000 0.323 2.009 6.228" Properties=species:S:1:pos:R:3 comment="BPIrI (GGA-PBE, relaxed)" final_energy_ev_per_atom=-5.3407 formation_energy_uncorrected_ev_per_atom=0.284 sg="No. 1" crystal_system=triclinic pbc="T T T"
B 0.000 0.000 0.000
P 1.919 2.738 0.452
Ir 2.300 2.709 5.702
I 2.780 2.688 3.074



19.
8
Lattice="11.885 0.000 0.000 0.000 2.998 0.000 0.000 0.000 4.778" Properties=species:S:1:pos:R:3 comment="Fe2HgCl (GGA-PBE, relaxed)" final_energy_ev_per_atom=-4.5966 formation_energy_uncorrected_ev_per_atom=0.172 sg="No. 8" crystal_system=monoclinic pbc="T T T"
Fe 0.000 0.000 0.000
Fe 1.849 1.499 4.776
Fe 5.942 1.499 0.000
Fe 7.791 0.000 4.776
Hg 1.277 0.000 2.388
Hg 7.219 1.499 2.388
Cl 4.027 0.000 0.010
Cl 9.970 1.499 0.010



20.
7
Lattice="3.534 0.000 0.000 0.000 3.534 0.000 0.000 0.000 8.296" Properties=species:S:1:pos:R:3 comment="ZrAlCu5 (GGA-PBE, relaxed)" final_energy_ev_per_atom=-4.6434 sg="No. 123" crystal_system=tetragonal delta_e_f_ev_per_atom=0.038 pbc="T T T"
Zr 0.000 0.000 0.000
Al 0.000 0.000 4.148
Cu 0.000 1.767 2.181
Cu 0.000 1.767 6.115
Cu 1.767 0.000 2.181
Cu 1.767 0.000 6.115
Cu 1.767 1.767 4.148



21.
4
Lattice="2.796 0.000 0.000 0.000 2.796 0.000 0.000 0.000 7.544" Properties=species:S:1:pos:R:3 comment="AlRuPt2 (GGA-PBE, relaxed)" final_energy_ev_per_atom=-6.7044 sg="No. 123" crystal_system=tetragonal delta_e_f_ev_per_atom=-0.429 pbc="T T T"
Al 0.000 0.000 0.000
Ru 0.000 0.000 3.772
Pt 1.398 1.398 1.762
Pt 1.398 1.398 5.782



22.
4
Lattice="3.526 0.000 0.000 0.000 3.526 0.000 0.000 0.000 5.932" Properties=species:S:1:pos:R:3 comment="ScSnPt2 (GGA-PBE, relaxed)" final_energy_ev_per_atom=-6.4603 sg="No. 123" crystal_system=tetragonal delta_e_f_ev_per_atom=-0.856 pbc="T T T"
Sc 0.000 0.000 0.000
Sn 0.000 0.000 2.966
Pt 1.763 1.763 1.425
Pt 1.763 1.763 4.508



23.
10
Lattice="4.651 0.000 0.000 0.000 4.651 0.000 0.000 0.000 10.455" Properties=species:S:1:pos:R:3 comment="LaUTaOs2 (GGA-PBE, relaxed)" final_energy_ev_per_atom=-10.2051 sg="No. 119" crystal_system=tetragonal delta_e_f_ev_per_atom=-0.100 pbc="T T T"
La 0.000 0.000 0.000
La 2.325 2.325 5.228
U 0.000 2.325 2.614
U 2.325 0.000 7.842
Ta 0.000 2.325 7.842
Ta 2.325 0.000 2.614
Os 0.000 0.000 3.874
Os 0.000 0.000 6.582
Os 2.325 2.325 1.354
Os 2.325 2.325 9.101



24.
12
Lattice="3.696 0.000 0.000 -1.848 3.201 0.000 0.000 0.000 28.474" Properties=species:S:1:pos:R:3 comment="DyPu2Pt (GGA-PBE, relaxed)" final_energy_ev_per_atom=-9.9839 sg="No. 166" crystal_system=trigonal delta_e_f_ev_per_atom=-0.157 pbc="T T T"
Dy 0.000 0.000 0.000
Dy 0.000 2.134 18.983
Dy 1.848 1.067 9.491
Pu 0.000 0.000 6.638
Pu 0.000 0.000 21.837
Pu 0.000 2.134 12.345
Pu 0.000 2.134 25.621
Pu 1.848 1.067 2.854
Pu 1.848 1.067 16.129
Pt 0.000 0.000 14.237
Pt 0.000 2.134 4.746
Pt 1.848 1.067 23.729



25.
12
Lattice="6.915 -1.960 0.000 6.915 1.960 0.000 -2.052 0.000 7.716" Properties=species:S:1:pos:R:3 comment="KPmMoN3 (GGA-PBE, relaxed)" final_energy_ev_per_atom=-7.4601 formation_energy_uncorrected_ev_per_atom=-0.518 sg="No. 12" crystal_system=monoclinic pbc="T T T"
K 1.863 0.000 0.535
K 9.915 0.000 7.181
Pm 1.035 0.000 4.561
Pm 10.743 0.000 3.154
Mo 5.425 0.000 5.228
Mo 6.352 0.000 2.487
N -0.541 0.000 2.665
N 3.426 0.000 4.938
N 4.659 0.000 1.626
N 7.119 0.000 6.090
N 8.351 0.000 2.778
N 12.319 0.000 5.051



Number 1: total moment 0.000 μB/atom. Number 2: total moment 1.156 μB/atom. Number 3: total moment 0.000 μB/atom. Number 4: total moment 0.000 μB/atom. Number 5: total moment 0.000 μB/atom. Number 6: total moment 0.000 μB/atom. Number 7: total moment 0.000 μB/atom. Number 8: total moment 0.000 μB/atom. Number 9: total moment 0.000 μB/atom. Number 10: total moment 0.999 μB/atom. Number 11: total moment 0.246 μB/atom. Number 12: total moment 0.000 μB/atom. Number 13: total moment 0.000 μB/atom. Number 14: total moment 0.000 μB/atom. Number 15: total moment 0.000 μB/atom. Number 16: total moment 0.000 μB/atom. Number 17: total moment 0.693 μB/atom. Number 18: total moment 0.000 μB/atom. Number 19: total moment 1.448 μB/atom. Number 20: total moment 0.000 μB/atom. Number 21: total moment 0.330 μB/atom. Number 22: total moment 0.000 μB/atom. Number 23: total moment 0.099 μB/atom. Number 24: total moment 2.968 μB/atom. Number 25: total moment 0.000 μB/atom.